Entry 1:
Entry from Alexandria: an optimized crystal structure of BeAl7 (GGA-PBEsol).

The structure in CIF format:
```
data_BeAl7
_chemical_formula_sum 'Be1 Al7'
_cell_length_a 5.5743
_cell_length_b 5.5743
_cell_length_c 5.5743
_cell_angle_alpha 60.00
_cell_angle_beta 60.00
_cell_angle_gamma 60.00
_space_group_name_H-M_alt 'P 1'
_space_group_IT_number 1
loop_
_space_group_symop_operation_xyz
'x,y,z'
loop_
_atom_site_label
_atom_site_type_symbol
_atom_site_fract_x
_atom_site_fract_y
_atom_site_fract_z
Al1 Al 0.0000 0.5000 0.0000
Al2 Al 0.5000 0.0000 0.0000
Al3 Al 0.5000 0.5000 0.5000
Al4 Al 0.5000 0.0000 0.5000
Al5 Al 0.0000 0.0000 0.5000
Al6 Al 0.5000 0.5000 0.0000
Al7 Al 0.0000 0.5000 0.5000
Be1 Be 0.0000 0.0000 0.0000
```

Output
ΔE_f   0.086 eV/atom
Space-group type   Fm-3m
Calculated volume   15.31 Å³/atom


Entry 2:
Entry from Alexandria: an optimized crystal structure of BeAl (GGA-PBEsol).

The structure in CIF format:
```
data_BeAl
_chemical_formula_sum 'Be2 Al2'
_cell_length_a 3.6541
_cell_length_b 3.6541
_cell_length_c 4.5647
_cell_angle_alpha 113.59
_cell_angle_beta 113.59
_cell_angle_gamma 90.00
_space_group_name_H-M_alt 'P 1'
_space_group_IT_number 1
loop_
_space_group_symop_operation_xyz
'x,y,z'
loop_
_atom_site_label
_atom_site_type_symbol
_atom_site_fract_x
_atom_site_fract_y
_atom_site_fract_z
Be1 Be 0.5000 0.5000 0.0000
Be2 Be 0.7500 0.2500 0.5000
Al1 Al 0.2500 0.7500 0.5000
Al2 Al 0.0000 0.0000 0.0000
```

Output
ΔE_f   0.263 eV/atom
Space-group type   I4_1/amd
Calculated volume   12.56 Å³/atom


Entry 3:
Entry from Alexandria: an optimized crystal structure of BeAl8 (GGA-PBEsol).

The structure in CIF format:
```
data_BeAl8
_chemical_formula_sum 'Be1 Al8'
_cell_length_a 3.9214
_cell_length_b 6.2554
_cell_length_c 6.2554
_cell_angle_alpha 84.36
_cell_angle_beta 71.73
_cell_angle_gamma 71.73
_space_group_name_H-M_alt 'P 1'
_space_group_IT_number 1
loop_
_space_group_symop_operation_xyz
'x,y,z'
loop_
_atom_site_label
_atom_site_type_symbol
_atom_site_fract_x
_atom_site_fract_y
_atom_site_fract_z
Al1 Al 0.3382 0.3235 0.0000
Al2 Al 0.6618 0.0000 0.6765
Al3 Al 0.3382 0.0000 0.3235
Al4 Al 0.0000 0.6719 0.3281
Al5 Al 0.6618 0.6765 0.0000
Al6 Al 0.3281 0.6719 0.6719
Al7 Al 0.0000 0.3281 0.6719
Al8 Al 0.6719 0.3281 0.3281
Be1 Be 0.0000 0.0000 0.0000
```

Output
ΔE_f   0.071 eV/atom
Space-group type   I4/mmm
Calculated volume   15.37 Å³/atom


Entry 4:
Entry from Alexandria: an optimized crystal structure of Be5Al (GGA-PBEsol).

The structure in CIF format:
```
data_Be5Al
_chemical_formula_sum 'Be5 Al1'
_cell_length_a 2.5390
_cell_length_b 2.5390
_cell_length_c 8.8442
_cell_angle_alpha 90.00
_cell_angle_beta 90.00
_cell_angle_gamma 90.00
_space_group_name_H-M_alt 'P 1'
_space_group_IT_number 1
loop_
_space_group_symop_operation_xyz
'x,y,z'
loop_
_atom_site_label
_atom_site_type_symbol
_atom_site_fract_x
_atom_site_fract_y
_atom_site_fract_z
Be1 Be 0.5000 0.5000 0.6399
Be2 Be 0.0000 0.0000 0.2146
Be3 Be 0.0000 0.0000 0.7854
Be4 Be 0.0000 0.0000 0.5000
Be5 Be 0.5000 0.5000 0.3601
Al1 Al 0.5000 0.5000 0.0000
```

Output
ΔE_f   0.231 eV/atom
Space-group type   P4/mmm
Calculated volume   9.50 Å³/atom


Entry 5:
Entry from Alexandria: an optimized crystal structure of BeAl (GGA-PBEsol).

The structure in CIF format:
```
data_BeAl
_chemical_formula_sum 'Be2 Al2'
_cell_length_a 2.6771
_cell_length_b 2.6771
_cell_length_c 8.0920
_cell_angle_alpha 90.00
_cell_angle_beta 90.00
_cell_angle_gamma 120.00
_space_group_name_H-M_alt 'P 1'
_space_group_IT_number 1
loop_
_space_group_symop_operation_xyz
'x,y,z'
loop_
_atom_site_label
_atom_site_type_symbol
_atom_site_fract_x
_atom_site_fract_y
_atom_site_fract_z
Al1 Al 0.6667 0.3333 0.8495
Al2 Al 0.3333 0.6667 0.1505
Be1 Be 0.6667 0.3333 0.3994
Be2 Be 0.3333 0.6667 0.6006
```

Output
ΔE_f   0.289 eV/atom
Space-group type   P-3m1
Calculated volume   12.56 Å³/atom


Entry 6:
Entry from Alexandria: an optimized crystal structure of BeAl5 (GGA-PBEsol).

The structure in CIF format:
```
data_BeAl5
_chemical_formula_sum 'Be1 Al5'
_cell_length_a 2.7768
_cell_length_b 2.7768
_cell_length_c 11.5706
_cell_angle_alpha 90.00
_cell_angle_beta 90.00
_cell_angle_gamma 90.00
_space_group_name_H-M_alt 'P 1'
_space_group_IT_number 1
loop_
_space_group_symop_operation_xyz
'x,y,z'
loop_
_atom_site_label
_atom_site_type_symbol
_atom_site_fract_x
_atom_site_fract_y
_atom_site_fract_z
Al1 Al 0.0000 0.0000 0.1412
Al2 Al 0.5000 0.5000 0.3221
Al3 Al 0.5000 0.5000 0.6779
Al4 Al 0.0000 0.0000 0.8588
Al5 Al 0.0000 0.0000 0.5000
Be1 Be 0.5000 0.5000 0.0000
```

Output
ΔE_f   0.077 eV/atom
Space-group type   P4/mmm
Calculated volume   14.87 Å³/atom